A relaxed structure of RbTl4V3F12, computed with GGA+U.

POSCAR file:
```
RbTl4V3F12
1.0
-4.4390 -4.5438 4.3502
7.2446 -2.6025 0.1323
-0.1969 7.1843 2.7610
Tl Rb F V
4 1 12 3
Cartesian
-2.2195 -2.2719 2.1751
1.3044 0.0190 3.6218
3.6223 -1.3013 0.0661
-0.0985 3.5921 1.3805
0.0000 0.0000 0.0000
4.2253 0.5043 2.5673
0.2438 -2.9130 4.0191
1.9790 1.2866 0.8124
2.0178 -5.1396 3.2238
-1.3018 0.7415 1.9968
-3.3342 1.8990 5.1144
2.3649 2.9510 3.2244
5.0687 3.2952 2.0808
-1.6166 -0.4663 4.6762
-0.5560 2.4657 4.2789
3.1647 -2.4277 2.9646
0.7878 -2.0067 1.2587
1.4028 -3.5731 2.2413
3.5239 2.2909 1.4466
-2.3180 1.3202 3.5556
```

Properties
Calculated total energy in eV per atom: -5.06
Space-group type: Im-3m (229)